# 1
Entry from Alexandria: an optimized crystal structure of SiIr2W (PBE).

```
SiIr2W
1.0
-1.363 0.283 2.463
1.839 -3.138 1.378
3.971 3.134 1.838
Ir Si W
2 1 1
Direct
0.500 0.500 0.297 Ir
0.000 0.000 0.975 Ir
0.000 0.000 0.456 Si
0.500 0.500 0.772 W
```

Calculated values
E_form (uncorrected), eV per atom: -0.142
Calculated volume, Å³ per cell: 59
Total DFT energy (no corrections), eV per atom: -9.17
Space-group type: Pmm2 (25)

---

# 2
Entry from Alexandria: an optimized crystal structure of Si3IrW (PBE).

```
Si3IrW
1.0
4.657 0.000 0.000
0.000 4.657 0.000
0.000 0.000 4.657
Si W Ir
3 1 1
Direct
0.000 0.500 0.000 Si
0.000 0.000 0.500 Si
0.500 0.000 0.000 Si
0.000 0.000 0.000 W
0.500 0.500 0.500 Ir
```

Calculated values
E_form (uncorrected), eV per atom: 1.292
Calculated volume, Å³ per cell: 101
Total DFT energy (no corrections), eV per atom: -6.32
Space-group type: Pm-3m (221)

---

# 3
Entry from Alexandria: an optimized crystal structure of ZnSiIr2W (PBE).

```
ZnSiIr2W
1.0
4.794 0.000 0.000
0.000 4.686 0.000
0.000 0.000 4.794
Zn Si Ir W
1 1 2 1
Direct
0.500 0.500 0.500 Zn
0.000 0.500 0.000 Si
0.500 0.000 0.000 Ir
0.000 0.000 0.500 Ir
0.000 0.000 0.000 W
```

Calculated values
E_form (uncorrected), eV per atom: 1.370
Calculated volume, Å³ per cell: 108
Total DFT energy (no corrections), eV per atom: -6.10
Space-group type: P4/mmm (123)

---

# 4
Entry from Alexandria: an optimized crystal structure of Y2SiIr (PBE).

```
Y2SiIr
1.0
7.587 0.000 0.000
0.000 7.587 0.000
3.794 3.794 3.268
Y Si Ir
4 2 2
Direct
0.375 0.356 0.750 Y
0.875 0.894 0.750 Y
0.644 0.125 0.250 Y
0.106 0.625 0.250 Y
0.250 0.750 0.500 Si
0.500 0.500 0.000 Si
0.000 0.000 0.000 Ir
0.750 0.250 0.500 Ir
```

Calculated values
E_form (uncorrected), eV per atom: -0.199
Calculated volume, Å³ per cell: 188
Total DFT energy (no corrections), eV per atom: -7.00
Space-group type: I-42d (122)

---

# 5
Entry from Alexandria: an optimized crystal structure of YSi3Ir (PBE).

```
YSi3Ir
1.0
5.655 0.000 0.000
0.000 7.748 0.221
0.000 -0.592 8.050
Si Ir Y
12 4 4
Direct
0.715 0.336 0.608 Si
0.285 0.664 0.392 Si
0.322 0.054 0.576 Si
0.735 0.640 0.690 Si
0.265 0.360 0.310 Si
0.235 0.860 0.810 Si
0.678 0.946 0.424 Si
0.765 0.140 0.190 Si
0.785 0.836 0.108 Si
0.178 0.554 0.076 Si
0.822 0.446 0.924 Si
0.215 0.164 0.892 Si
0.491 0.319 0.059 Ir
0.991 0.181 0.441 Ir
0.009 0.819 0.559 Ir
0.509 0.681 0.941 Ir
0.767 0.546 0.317 Y
0.733 0.046 0.817 Y
0.233 0.454 0.683 Y
0.267 0.954 0.183 Y
```

Calculated values
E_form (uncorrected), eV per atom: -0.655
Calculated volume, Å³ per cell: 353
Total DFT energy (no corrections), eV per atom: -6.97
Space-group type: P2_1/c (14)

---

# 6
Entry from Alexandria: an optimized crystal structure of Y2Si3Ir (PBE).

```
Y2Si3Ir
1.0
-1.006 5.147 -2.369
-3.763 -2.432 -3.612
-2.806 -0.231 7.640
Si Y Ir
6 4 2
Direct
0.166 0.667 0.833 Si
0.667 0.166 0.833 Si
0.333 0.834 0.167 Si
0.834 0.333 0.167 Si
0.167 0.167 0.334 Si
0.833 0.833 0.666 Si
0.750 0.250 0.500 Y
0.749 0.749 0.000 Y
0.251 0.251 0.000 Y
0.250 0.750 0.500 Y
0.334 0.334 0.667 Ir
0.666 0.666 0.333 Ir
```

Calculated values
E_form (uncorrected), eV per atom: -0.920
Calculated volume, Å³ per cell: 234
Total DFT energy (no corrections), eV per atom: -7.26
Space-group type: Fmmm (69)

---

# 7
Entry from Alexandria: an optimized crystal structure of YSi2Ir4 (PBE).

```
YSi2Ir4
1.0
-1.010 -3.305 1.683
2.818 -3.877 -5.924
6.791 -0.323 3.441
Ir Y Si
8 2 4
Direct
0.500 0.573 0.168 Ir
0.000 0.927 0.668 Ir
0.500 0.168 0.573 Ir
0.000 0.668 0.927 Ir
0.000 0.332 0.073 Ir
0.500 0.427 0.832 Ir
0.000 0.073 0.332 Ir
0.500 0.832 0.427 Ir
0.500 0.000 0.000 Y
0.000 0.500 0.500 Y
0.500 0.729 0.729 Si
0.500 0.271 0.271 Si
0.000 0.771 0.229 Si
0.000 0.229 0.771 Si
```

Calculated values
E_form (uncorrected), eV per atom: -0.795
Calculated volume, Å³ per cell: 223
Total DFT energy (no corrections), eV per atom: -8.33
Space-group type: P4_2/mnm (136)

---

# 8
Entry from Alexandria: an optimized crystal structure of Y2SiIr (PBE).

```
Y2SiIr
1.0
-4.208 -1.987 -0.806
0.931 -3.292 3.257
-1.533 2.175 2.638
Y Ir Si
2 1 1
Direct
0.000 0.000 0.000 Y
0.500 0.500 0.000 Y
0.500 0.000 0.500 Ir
0.000 0.500 0.500 Si
```

Calculated values
E_form (uncorrected), eV per atom: -0.651
Calculated volume, Å³ per cell: 84
Total DFT energy (no corrections), eV per atom: -7.45
Space-group type: P4/mmm (123)

---

# 9
Entry from Alexandria: an optimized crystal structure of YSi4Ir6 (PBE).

```
YSi4Ir6
1.0
3.833 0.000 0.000
0.000 6.099 -3.521
0.000 0.000 7.042
Ir Si Y
6 4 1
Direct
0.500 0.198 0.395 Ir
0.500 0.605 0.802 Ir
0.000 0.933 0.467 Ir
0.000 0.533 0.467 Ir
0.500 0.198 0.802 Ir
0.000 0.533 0.067 Ir
0.500 0.393 0.196 Si
0.000 0.333 0.667 Si
0.500 0.804 0.196 Si
0.500 0.804 0.607 Si
0.000 0.000 0.000 Y
```

Calculated values
E_form (uncorrected), eV per atom: -0.854
Calculated volume, Å³ per cell: 165
Total DFT energy (no corrections), eV per atom: -8.25
Space-group type: P-6m2 (187)

---

# 10
Entry from Alexandria: an optimized crystal structure of Y3Si2Ir3 (PBE).

```
Y3Si2Ir3
1.0
5.551 0.000 0.000
0.000 7.582 0.000
0.000 0.000 14.789
Y Ir Si
12 12 8
Direct
0.370 0.974 0.392 Y
0.401 0.672 0.750 Y
0.870 0.526 0.608 Y
0.370 0.974 0.108 Y
0.130 0.474 0.108 Y
0.870 0.526 0.892 Y
0.630 0.026 0.608 Y
0.599 0.328 0.250 Y
0.099 0.172 0.750 Y
0.901 0.828 0.250 Y
0.630 0.026 0.892 Y
0.130 0.474 0.392 Y
0.398 0.668 0.540 Ir
0.413 0.679 0.250 Ir
0.898 0.832 0.460 Ir
0.913 0.821 0.750 Ir
0.602 0.332 0.460 Ir
0.087 0.179 0.250 Ir
0.898 0.832 0.040 Ir
0.602 0.332 0.040 Ir
0.587 0.321 0.750 Ir
0.398 0.668 0.960 Ir
0.102 0.168 0.540 Ir
0.102 0.168 0.960 Ir
0.878 0.124 0.103 Si
0.878 0.124 0.397 Si
0.378 0.376 0.603 Si
0.378 0.376 0.897 Si
0.622 0.624 0.103 Si
0.122 0.876 0.897 Si
0.122 0.876 0.603 Si
0.622 0.624 0.397 Si
```

Calculated values
E_form (uncorrected), eV per atom: -1.025
Calculated volume, Å³ per cell: 622
Total DFT energy (no corrections), eV per atom: -8.13
Space-group type: Pnma (62)

---

# 11
Entry from Alexandria: an optimized crystal structure of YSi3Ir2 (PBE).

```
YSi3Ir2
1.0
-3.655 1.629 -0.785
1.576 -0.025 -7.388
-1.362 -6.959 2.495
Ir Si Y
4 6 2
Direct
0.510 0.179 0.019 Ir
0.490 0.821 0.981 Ir
0.176 0.632 0.351 Ir
0.824 0.368 0.649 Ir
0.365 0.241 0.730 Si
0.014 0.350 0.028 Si
0.671 0.432 0.342 Si
0.635 0.759 0.270 Si
0.986 0.650 0.972 Si
0.329 0.568 0.658 Si
0.853 0.911 0.705 Y
0.147 0.089 0.295 Y
```

Calculated values
E_form (uncorrected), eV per atom: -0.745
Calculated volume, Å³ per cell: 207
Total DFT energy (no corrections), eV per atom: -7.49
Space-group type: C2/m (12)

---

# 12
Entry from Alexandria: an optimized crystal structure of Y4SiIr4 (PBE).

```
Y4SiIr4
1.0
5.625 0.000 0.000
0.000 8.375 0.000
0.000 0.000 8.375
Ir Y Si
8 8 2
Direct
0.606 0.483 0.140 Ir
0.606 0.017 0.360 Ir
0.106 0.860 0.983 Ir
0.894 0.140 0.017 Ir
0.894 0.360 0.483 Ir
0.106 0.640 0.517 Ir
0.394 0.983 0.640 Ir
0.394 0.517 0.860 Ir
0.890 0.046 0.685 Y
0.110 0.546 0.185 Y
0.110 0.954 0.315 Y
0.610 0.685 0.454 Y
0.390 0.315 0.546 Y
0.390 0.185 0.954 Y
0.890 0.454 0.815 Y
0.610 0.815 0.046 Y
0.250 0.750 0.750 Si
0.750 0.250 0.250 Si
```

Calculated values
E_form (uncorrected), eV per atom: -0.778
Calculated volume, Å³ per cell: 395
Total DFT energy (no corrections), eV per atom: -8.19
Space-group type: P4_2/n (86)

---

# 13
Entry from Alexandria: an optimized crystal structure of Y2SiIr (PBE).

```
Y2SiIr
1.0
4.159 0.000 0.000
0.000 5.225 -2.086
0.000 -0.007 8.189
Si Ir Y
2 2 4
Direct
0.250 0.353 0.212 Si
0.750 0.647 0.788 Si
0.750 0.620 0.279 Ir
0.250 0.380 0.721 Ir
0.250 0.789 0.563 Y
0.750 0.211 0.437 Y
0.250 0.783 0.085 Y
0.750 0.217 0.915 Y
```

Calculated values
E_form (uncorrected), eV per atom: -0.852
Calculated volume, Å³ per cell: 178
Total DFT energy (no corrections), eV per atom: -7.66
Space-group type: P2_1/m (11)

---

# 14
Entry from Alexandria: an optimized crystal structure of YSi4Ir2 (PBE).

```
YSi4Ir2
1.0
-3.999 1.092 -0.255
-1.740 -6.088 1.214
-0.140 3.280 16.248
Ir Y Si
8 4 16
Direct
0.750 0.017 0.213 Ir
0.250 0.748 0.533 Ir
0.250 0.517 0.287 Ir
0.750 0.252 0.467 Ir
0.750 0.248 0.967 Ir
0.250 0.983 0.787 Ir
0.750 0.483 0.713 Ir
0.250 0.752 0.033 Ir
0.250 0.996 0.359 Y
0.750 0.496 0.141 Y
0.250 0.504 0.859 Y
0.750 0.004 0.641 Y
0.250 0.281 0.692 Si
0.250 0.219 0.192 Si
0.250 0.464 0.435 Si
0.750 0.964 0.065 Si
0.750 0.781 0.808 Si
0.750 0.189 0.818 Si
0.750 0.863 0.467 Si
0.250 0.689 0.682 Si
0.750 0.311 0.318 Si
0.750 0.719 0.308 Si
0.250 0.811 0.182 Si
0.750 0.637 0.967 Si
0.250 0.363 0.033 Si
0.250 0.036 0.935 Si
0.250 0.137 0.533 Si
0.750 0.536 0.565 Si
```

Calculated values
E_form (uncorrected), eV per atom: -0.785
Calculated volume, Å³ per cell: 444
Total DFT energy (no corrections), eV per atom: -7.34
Space-group type: Pnma (62)

---

# 15
Entry from Alexandria: an optimized crystal structure of Y3Si8Ir3 (PBE).

```
Y3Si8Ir3
1.0
-3.185 1.580 2.246
-6.477 -2.222 -3.686
-2.740 -5.928 4.222
Si Y Ir
8 3 3
Direct
0.832 0.797 0.539 Si
0.627 0.084 0.661 Si
0.168 0.461 0.203 Si
0.832 0.539 0.797 Si
0.373 0.916 0.339 Si
0.627 0.661 0.084 Si
0.373 0.339 0.916 Si
0.168 0.203 0.461 Si
0.811 0.189 0.189 Y
0.500 0.500 0.500 Y
0.189 0.811 0.811 Y
0.000 0.775 0.225 Ir
0.500 0.000 0.000 Ir
0.000 0.225 0.775 Ir
```

Calculated values
E_form (uncorrected), eV per atom: -0.605
E above lowest polymorph, meV/atom: 85.4
Calculated volume, Å³ per cell: 231
Total DFT energy (no corrections), eV per atom: -6.99
Space-group type: Immm (71)

---

# 16
Entry from Alexandria: an optimized crystal structure of Y3Si3Ir (PBE).

```
Y3Si3Ir
1.0
4.184 0.000 0.630
2.066 5.307 0.492
0.208 0.020 12.822
Si Y Ir
6 6 2
Direct
0.952 0.859 0.238 Si
0.886 0.152 0.075 Si
0.132 0.280 0.456 Si
0.868 0.720 0.544 Si
0.114 0.848 0.925 Si
0.048 0.141 0.762 Si
0.257 0.258 0.227 Y
0.602 0.717 0.079 Y
0.482 0.663 0.374 Y
0.398 0.283 0.921 Y
0.518 0.337 0.626 Y
0.743 0.742 0.773 Y
0.753 0.078 0.415 Ir
0.247 0.922 0.585 Ir
```

Calculated values
E_form (uncorrected), eV per atom: -0.946
Calculated volume, Å³ per cell: 284
Total DFT energy (no corrections), eV per atom: -7.31
Space-group type: C2/m (12)

---

# 17
Entry from Alexandria: an optimized crystal structure of Y2Si6Ir9 (PBE).

```
Y2Si6Ir9
1.0
5.602 0.000 0.000
-2.801 4.852 0.000
0.000 0.000 10.844
Y Ir Si
2 9 6
Direct
0.000 0.000 0.693 Y
0.000 0.000 0.307 Y
0.500 0.000 0.168 Ir
0.500 0.500 0.168 Ir
0.500 0.500 0.500 Ir
0.500 0.500 0.832 Ir
0.000 0.500 0.832 Ir
0.500 0.000 0.832 Ir
0.000 0.500 0.500 Ir
0.500 0.000 0.500 Ir
0.000 0.500 0.168 Ir
0.333 0.667 0.000 Si
0.667 0.333 0.334 Si
0.333 0.667 0.334 Si
0.333 0.667 0.666 Si
0.667 0.333 0.666 Si
0.667 0.333 0.000 Si
```

Calculated values
E_form (uncorrected), eV per atom: -0.692
Calculated volume, Å³ per cell: 295
Total DFT energy (no corrections), eV per atom: -8.06
Space-group type: P6/mmm (191)

---

# 18
Entry from Alexandria: an optimized crystal structure of Y2SiIr (PBE).

```
Y2SiIr
1.0
6.264 -0.003 0.006
3.669 5.077 -0.006
-4.669 -3.118 2.776
Y Ir Si
2 1 1
Direct
0.998 0.998 0.000 Y
0.726 0.226 0.500 Y
0.464 0.464 0.000 Ir
0.312 0.812 0.500 Si
```

Calculated values
E_form (uncorrected), eV per atom: -0.681
Calculated volume, Å³ per cell: 88
Total DFT energy (no corrections), eV per atom: -7.48
Space-group type: Imm2 (44)

---

# 19
Entry from Alexandria: an optimized crystal structure of Y3SiIr2 (PBE).

```
Y3SiIr2
1.0
3.944 0.000 0.000
0.000 12.003 0.000
0.000 0.000 11.462
Y Ir Si
12 8 4
Direct
0.250 0.806 0.697 Y
0.750 0.306 0.803 Y
0.250 0.384 0.058 Y
0.250 0.694 0.197 Y
0.250 0.116 0.558 Y
0.750 0.556 0.627 Y
0.750 0.194 0.303 Y
0.750 0.616 0.942 Y
0.750 0.884 0.442 Y
0.750 0.944 0.127 Y
0.250 0.444 0.373 Y
0.250 0.056 0.873 Y
0.750 0.979 0.695 Ir
0.750 0.314 0.523 Ir
0.250 0.686 0.477 Ir
0.750 0.521 0.195 Ir
0.250 0.814 0.977 Ir
0.750 0.186 0.023 Ir
0.250 0.479 0.805 Ir
0.250 0.021 0.305 Ir
0.750 0.639 0.376 Si
0.250 0.361 0.624 Si
0.750 0.861 0.876 Si
0.250 0.139 0.124 Si
```

Calculated values
E_form (uncorrected), eV per atom: -0.829
Calculated volume, Å³ per cell: 543
Total DFT energy (no corrections), eV per atom: -7.92
Space-group type: Pnma (62)